1.
First-principles (PBE-GGA) data for an optimized crystal structure of BaRe2Se, as listed in Alexandria.

Output
Fermi-level density of states (states/eV per cell): 4.021
V (Å³ per atom): 19.9
Space group: R-3m
Energy relative to the elements, uncorrected (eV/atom): 1.185

Cell and atoms, written as POSCAR:
```
BaRe2Se
1.0
-0.4695 -5.2872 -8.3369
-2.4509 -6.9052 -6.6324
-3.4117 -4.4152 -8.1575
Ba Re Se
1 2 1
Cartesian
-4.7491 -12.4557 -17.3451 Ba
-6.2072 -16.2801 -22.6707 Re
-3.2909 -8.6313 -12.0195 Re
-1.5830 -4.1519 -5.7817 Se
```

***

2.
First-principles (PBE-GGA) data for an optimized crystal structure of BaRe2Se, as listed in Alexandria.

Output
Fermi-level density of states (states/eV per cell): 3.805
V (Å³ per atom): 26.0
Space group: Imm2
Energy relative to the elements, uncorrected (eV/atom): 0.601

Cell and atoms, written as POSCAR:
```
BaRe2Se
1.0
-0.1638 -5.7849 -1.2883
5.3577 -1.4599 -2.0775
-3.0013 1.9111 4.7426
Ba Re Se
1 2 1
Cartesian
2.5821 -1.7327 0.4228 Ba
4.7755 -6.6613 -3.0947 Re
-0.2570 -3.7859 0.8681 Re
2.8829 -4.0213 -1.8682 Se
```

***

3.
First-principles (PBE-GGA) data for an optimized crystal structure of BaRe2TcSe, as listed in Alexandria.

Output
Fermi-level density of states (states/eV per cell): 7.500
V (Å³ per atom): 26.9
Space group: P4/mmm
Energy relative to the elements, uncorrected (eV/atom): 3.661

Cell and atoms, written as POSCAR:
```
BaRe2TcSe
1.0
5.1398 0.0000 0.0000
0.0000 5.1398 0.0000
0.0000 0.0000 5.0961
Re Ba Se Tc
2 1 1 1
Cartesian
0.0000 2.5699 0.0000 Re
2.5699 0.0000 0.0000 Re
0.0000 0.0000 0.0000 Ba
2.5699 2.5699 2.5481 Se
0.0000 0.0000 2.5481 Tc
```

***

4.
First-principles (PBE-GGA) data for an optimized crystal structure of BaReTeSe2, as listed in Alexandria.

Output
Fermi-level density of states (states/eV per cell): 4.201
V (Å³ per atom): 32.4
Space group: P4/mmm
Energy relative to the elements, uncorrected (eV/atom): -0.142

Cell and atoms, written as POSCAR:
```
BaReTeSe2
1.0
-4.1367 -1.3317 -2.0197
0.3712 -6.1978 3.3261
-2.4060 1.8470 3.7101
Re Te Ba Se
1 1 1 2
Cartesian
0.0000 0.0000 0.0000 Re
-3.0857 -2.8413 2.5082 Te
0.1856 -3.0989 1.6631 Ba
-1.2030 0.9235 1.8550 Se
-2.0683 -0.6658 -1.0099 Se
```

***

5.
First-principles (PBE-GGA) data for an optimized crystal structure of BaReSi2, as listed in Alexandria.

Output
Fermi-level density of states (states/eV per cell): 2.796
V (Å³ per atom): 22.4
Space group: C2/m
Energy relative to the elements, uncorrected (eV/atom): -0.130

Cell and atoms, written as POSCAR:
```
BaReSi2
1.0
4.3799 -0.0055 0.0131
2.8395 3.3348 0.0131
1.7098 0.7885 6.1299
Ba Re Si
1 1 2
Cartesian
2.2323 1.0295 1.5390 Ba
6.6969 3.0884 4.6171 Re
1.6780 0.7738 5.3191 Si
4.4965 2.0736 3.8888 Si
```

***

6.
First-principles (PBE-GGA) data for an optimized crystal structure of BaReSi2, as listed in Alexandria.

Output
Fermi-level density of states (states/eV per cell): 2.913
V (Å³ per atom): 20.1
Space group: Pmmm
Energy relative to the elements, uncorrected (eV/atom): 0.918

Cell and atoms, written as POSCAR:
```
BaReSi2
1.0
-1.6918 1.5368 -2.1642
-0.4996 -6.0142 -3.8801
-3.2730 -4.2797 -0.4806
Ba Re Si
1 1 2
Cartesian
-2.7322 -4.3786 -3.2624 Ba
-1.6365 -2.1399 -0.2403 Re
0.0000 0.0000 0.0000 Si
-1.0957 -2.2387 -3.0221 Si
```

***

- Among the records above, which one has the lowest Fermi-level density of states?
  number 5

***

- What is the V in the fifth record?
  22.4 Å³ per atom

***

- The highest V belongs to which entry?
  BaReTeSe2